Entry 1:
Si3SbP | PBE | optimized geometry

Output
V in Å³/atom: 19.93
Final energy in eV/atom: -4.466
Uncorrected formation energy in eV/atom: 0.69

Unit cell a=4.6358 b=4.6358 c=4.6358 alpha=90.00 beta=90.00 gamma=90.00
Positions (direct):
Si 0.5000 0.0000 0.0000
Si 0.0000 0.0000 0.5000
Si 0.0000 0.5000 0.0000
Sb 0.5000 0.5000 0.5000
P 0.0000 0.0000 0.0000

Entry 2:
SiSbP2 | PBE | optimized geometry

Output
V in Å³/atom: 17.99
Final energy in eV/atom: -4.402
Uncorrected formation energy in eV/atom: 0.69

Unit cell a=3.3682 b=4.6366 c=4.6074 alpha=90.00 beta=90.00 gamma=90.00
Positions (direct):
Si 0.0000 0.5000 0.5000
Sb 0.5000 0.0000 0.5000
P 0.5000 0.5000 0.0000
P 0.0000 0.0000 0.0000

Entry 3:
Si3SbP | PBE | optimized geometry

Output
V in Å³/atom: 27.20
Final energy in eV/atom: -3.532
Uncorrected formation energy in eV/atom: 1.63

Unit cell a=5.1428 b=5.1428 c=5.1428 alpha=90.00 beta=90.00 gamma=90.00
Positions (direct):
Si 0.5000 0.0000 0.0000
Si 0.0000 0.0000 0.5000
Si 0.0000 0.5000 0.0000
Sb 0.0000 0.0000 0.0000
P 0.5000 0.5000 0.5000

Entry 4:
SiSbP2 | PBE | optimized geometry

Output
V in Å³/atom: 18.92
Final energy in eV/atom: -4.550
Uncorrected formation energy in eV/atom: 0.54

Unit cell a=3.6209 b=3.6307 c=5.7562 alpha=90.00 beta=90.00 gamma=90.00
Positions (direct):
Si 0.5000 0.5000 0.7500
Sb 0.5000 0.5000 0.2500
P 0.0000 0.0000 0.9403
P 0.0000 0.0000 0.5597

Entry 5:
SiSbP2 | PBE | optimized geometry

Output
V in Å³/atom: 19.45
Final energy in eV/atom: -4.949
Uncorrected formation energy in eV/atom: 0.14

Unit cell a=3.6839 b=4.4483 c=4.9353 alpha=74.15 beta=90.00 gamma=90.00
Positions (direct):
Si 0.5000 0.7500 0.7500
Sb 0.5000 0.2500 0.2500
P 0.0000 0.0290 0.9221
P 0.0000 0.4710 0.5779

Entry 6:
SiSbP2 | PBE | optimized geometry

Output
V in Å³/atom: 19.42
Final energy in eV/atom: -4.639
Uncorrected formation energy in eV/atom: 0.45

Unit cell a=3.1270 b=3.1270 c=7.9460 alpha=90.00 beta=90.00 gamma=90.00
Positions (direct):
Sb 0.5000 0.5000 0.2500
P 0.0000 0.0000 0.5981
P 0.0000 0.0000 0.9019
Si 0.5000 0.5000 0.7500

Entry 7:
SiSbP2 | PBE | optimized geometry

Output
V in Å³/atom: 21.78
Final energy in eV/atom: -4.897
Uncorrected formation energy in eV/atom: 0.19

Unit cell a=6.4367 b=6.4367 c=6.1964 alpha=58.71 beta=58.71 gamma=90.00
Positions (direct):
Si 0.5000 0.5000 0.0000
Si 0.2500 0.7500 0.5000
P 0.3750 0.4349 0.7500
P 0.1849 0.6250 0.2500
P 0.5651 0.1250 0.2500
P 0.8750 0.8151 0.7500
Sb 0.0000 0.0000 0.0000
Sb 0.7500 0.2500 0.5000

Entry 8:
SiSbP2 | PBE | optimized geometry

Output
V in Å³/atom: 19.06
Final energy in eV/atom: -4.857
Uncorrected formation energy in eV/atom: 0.23

Unit cell a=3.7443 b=6.5996 c=5.3690 alpha=35.08 beta=90.00 gamma=90.00
Positions (direct):
Sb 0.5000 0.5000 0.5000
Si 0.0000 0.0000 0.5000
P 0.5000 0.5000 0.0000
P 0.0000 0.0000 0.0000

Entry 9:
SiSbP2 | PBE | optimized geometry

Output
V in Å³/atom: 18.93
Final energy in eV/atom: -4.441
Uncorrected formation energy in eV/atom: 0.65

Unit cell a=5.9553 b=5.9553 c=5.9553 alpha=143.08 beta=143.08 gamma=53.20
Positions (direct):
Si 0.7500 0.2500 0.5000
P 0.2500 0.7500 0.5000
P 0.0000 0.0000 0.0000
Sb 0.5000 0.5000 0.0000

Entry 10:
SiSbP2 | PBE | optimized geometry

Output
V in Å³/atom: 18.95
Final energy in eV/atom: -4.829
Uncorrected formation energy in eV/atom: 0.26

Unit cell a=4.6168 b=4.6168 c=4.6223 alpha=70.12 beta=70.12 gamma=108.68
Positions (direct):
P 0.0000 0.0000 0.0000
P 0.5000 0.5000 0.0000
Si 0.0000 0.5000 0.5000
Sb 0.5000 0.0000 0.5000

Entry 11:
SiSbP2 | PBE | optimized geometry

Output
V in Å³/atom: 18.52
Final energy in eV/atom: -4.576
Uncorrected formation energy in eV/atom: 0.52

Unit cell a=5.3940 b=5.3940 c=5.3940 alpha=145.08 beta=123.20 gamma=68.44
Positions (direct):
Sb 0.5208 0.5208 0.0000
P 0.9813 0.9813 0.0000
P 0.7942 0.2942 0.5000
Si 0.2037 0.7037 0.5000

Entry 12:
SiSbP2 | PBE | optimized geometry

Output
V in Å³/atom: 22.11
Final energy in eV/atom: -4.697
Uncorrected formation energy in eV/atom: 0.39

Unit cell a=5.4529 b=5.4529 c=5.2513 alpha=77.75 beta=77.75 gamma=35.52
Positions (direct):
P 0.9135 0.9135 0.2350
P 0.5865 0.5865 0.2650
Sb 0.7500 0.7500 0.7500
Si 0.2500 0.2500 0.2500